[1]
BaMnSb2Te: optimized geometry, PBE.

Results
Space group   P4/mmm (123)
E above lowest polymorph   0.00 eV per formula unit
Spin magnetization   0.01 μB per formula unit
Uncorrected formation energy   -0.24 eV per atom
Energy   -4.74 eV per atom

Lattice parameters (Å, degrees): 4.9320 4.9320 6.1986 90.00 90.00 90.00
With the nearest neighbours (Å) after each atom.
Sites, in units of the cell vectors:
1 Mn 0.0000 0.0000 0.0000  4 Sb 2.47
2 Te 0.0000 0.0000 0.5000  2 Mn 3.10
3 Sb 0.5000 0.0000 0.0000  2 Mn 2.47
4 Ba 0.5000 0.5000 0.5000  4 Te 3.49
5 Sb 0.0000 0.5000 0.0000  2 Mn 2.47

---

[2]
Be3PbS: optimized geometry, PBE.

Results
Space group   Pm-3m (221)
E above lowest polymorph   0.00 eV per formula unit
Spin magnetization   0.00 μB per formula unit
Uncorrected formation energy   0.65 eV per atom
Energy   -3.15 eV per atom

Lattice parameters (Å, degrees): 4.2587 4.2587 4.2587 90.00 90.00 90.00
With the nearest neighbours (Å) after each atom.
Sites, in units of the cell vectors:
1 S 0.0000 0.0000 0.0000  6 Be 2.13
2 Be 0.0000 0.0000 0.5000  2 S 2.13
3 Pb 0.5000 0.5000 0.5000  12 Be 3.01
4 Be 0.5000 0.0000 0.0000  2 S 2.13
5 Be 0.0000 0.5000 0.0000  2 S 2.13

---

[3]
Ir3PdW: optimized geometry, PBE.

Results
Space group   Pm-3m (221)
E above lowest polymorph   0.00 eV per formula unit
Formation energy from the elements   1.69 eV/atom
Spin magnetization   0.00 μB per formula unit
Energy   -7.26 eV per atom

Lattice parameters (Å, degrees): 4.7179 4.7179 4.7179 90.00 90.00 90.00
With the nearest neighbours (Å) after each atom.
Sites, in units of the cell vectors:
1 Ir 0.0000 0.0000 0.5000  2 W 2.36
2 Ir 0.0000 0.5000 0.0000  2 W 2.36
3 Ir 0.5000 0.0000 0.0000  2 W 2.36
4 Pd 0.5000 0.5000 0.5000  12 Ir 3.34
5 W 0.0000 0.0000 0.0000  6 Ir 2.36

---

[4]
LiSiB: optimized geometry, PBE.

Results
Space group   P4/nmm (129)
Spin magnetization   0.00 μB per formula unit
Uncorrected formation energy   0.25 eV per atom
Energy   -4.43 eV per atom

Lattice parameters (Å, degrees): 3.4067 3.4067 6.4559 90.00 90.00 90.00
With the nearest neighbours (Å) after each atom.
Sites, in units of the cell vectors:
1 Si 0.5000 0.0000 0.6970  4 B 2.13
2 Si 0.0000 0.5000 0.3030  4 B 2.13
3 Li 0.5000 0.0000 0.1249  5 Si 2.67-2.76, 4 Li 2.90, 4 B 2.96
4 Li 0.0000 0.5000 0.8751  5 Si 2.67-2.76, 4 Li 2.90, 4 B 2.96
5 B 0.0000 0.0000 0.5000  4 Si 2.13
6 B 0.5000 0.5000 0.5000  4 Si 2.13

---

[5]
Ce3InPt: optimized geometry, PBE.

Results
Space group   P2_1/m (11)
E above lowest polymorph   0.00 eV per formula unit
Formation energy from the elements   -0.51 eV/atom
Spin magnetization   2.14 μB per formula unit
Energy   -5.83 eV per atom

Lattice parameters (Å, degrees): 3.6593 9.5235 7.7994 100.56 90.00 90.00
With the nearest neighbours (Å) after each atom.
Sites, in units of the cell vectors:
1 Pt 0.2500 0.7390 0.1159  7 Ce 2.91-3.19
2 Ce 0.2500 0.1555 0.1216  2 Pt 2.91
3 Pt 0.7500 0.2610 0.8841  7 Ce 2.91-3.19
4 Ce 0.2500 0.0640 0.6406  2 Ce 2.94, 2 Pt 3.03, 2 In 3.27
5 Ce 0.2500 0.4815 0.7906  3 Pt 2.97-3.19, 1 In 3.26
6 In 0.2500 0.7098 0.5261  8 Ce 3.26-3.35, 1 Pt 3.26
7 Ce 0.7500 0.9360 0.3594  2 Ce 2.94, 2 Pt 3.03, 2 In 3.27
8 In 0.7500 0.2902 0.4739  8 Ce 3.26-3.35, 1 Pt 3.26
9 Ce 0.7500 0.8445 0.8784  2 Pt 2.91
10 Ce 0.7500 0.5185 0.2094  3 Pt 2.97-3.19, 1 In 3.26

---

[6]
ZrIrPb2: optimized geometry, PBE.

Results
Space group   Fm-3m (225)
E above lowest polymorph   1.33 eV per formula unit
Formation energy from the elements   0.27 eV/atom
Spin magnetization   1.04 μB per formula unit
Energy   -5.94 eV per atom

Lattice parameters (Å, degrees): 4.9595 4.9595 4.9595 60.00 60.00 60.00
With the nearest neighbours (Å) after each atom.
Sites, in units of the cell vectors:
1 Zr 0.0000 0.0000 0.0000  8 Pb 3.04
2 Pb 0.2500 0.2500 0.2500  4 Ir 3.04, 4 Zr 3.04
3 Pb 0.7500 0.7500 0.7500  4 Zr 3.04, 4 Ir 3.04
4 Ir 0.5000 0.5000 0.5000  8 Pb 3.04

---

[7]
Nd2CdGa2Rh5: optimized geometry, PBE.

Results
Space group   P4/mbm (127)
Formation energy from the elements   -0.64 eV/atom
Spin magnetization   0.00 μB per formula unit
Energy   -5.96 eV per atom

Lattice parameters (Å, degrees): 3.6282 9.9957 9.9957 90.00 90.00 90.00
With the nearest neighbours (Å) after each atom.
Sites, in units of the cell vectors:
1 Ga 0.0000 0.3778 0.1222  6 Rh 2.50-2.52
2 Ga 0.0000 0.8778 0.3778  6 Rh 2.50-2.52
3 Ga 0.0000 0.1222 0.6222  6 Rh 2.50-2.52
4 Rh 0.5000 0.4324 0.2888  2 Ga 2.52
5 Rh 0.5000 0.0676 0.7888  2 Ga 2.52
6 Rh 0.5000 0.2888 0.5676  2 Ga 2.52
7 Nd 0.0000 0.1760 0.3240  3 Ga 2.85-3.03, 6 Rh 3.08-3.16
8 Nd 0.0000 0.3240 0.8240  3 Ga 2.85-3.03, 6 Rh 3.08-3.16
9 Ga 0.0000 0.6222 0.8778  6 Rh 2.50-2.52
10 Rh 0.5000 0.5000 0.0000  4 Ga 2.50
11 Rh 0.5000 0.2112 0.0676  2 Ga 2.52
12 Rh 0.5000 0.7112 0.4324  2 Ga 2.52
13 Rh 0.5000 0.5676 0.7112  2 Ga 2.52
14 Rh 0.5000 0.0000 0.5000  4 Ga 2.50
15 Rh 0.5000 0.9324 0.2112  2 Ga 2.52
16 Cd 0.0000 0.0000 0.0000  8 Rh 2.86
17 Nd 0.0000 0.8240 0.6760  3 Ga 2.85-3.03, 6 Rh 3.08-3.16
18 Nd 0.0000 0.6760 0.1760  3 Ga 2.85-3.03, 6 Rh 3.08-3.16
19 Rh 0.5000 0.7888 0.9324  2 Ga 2.52
20 Cd 0.0000 0.5000 0.5000  8 Rh 2.86

---

[8]
Pr2ZnGe4Au3: optimized geometry, PBE.

Results
Space group   P-4m2 (115)
Formation energy from the elements   -0.54 eV/atom
Spin magnetization   0.00 μB per formula unit
Energy   -4.45 eV per atom

Lattice parameters (Å, degrees): 4.3381 4.3381 11.1126 90.00 90.00 90.00
With the nearest neighbours (Å) after each atom.
Sites, in units of the cell vectors:
1 Ge 0.5000 0.0000 0.6332  3 Au 2.51-2.63, 2 Zn 2.63
2 Pr 0.5000 0.0000 0.2592  8 Ge 3.29-3.61, 6 Au 3.34-3.44, 2 Zn 3.44
3 Zn 0.5000 0.5000 0.5000  4 Ge 2.63
4 Pr 0.0000 0.5000 0.7408  8 Ge 3.29-3.61, 6 Au 3.34-3.44, 2 Zn 3.44
5 Ge 0.5000 0.5000 0.0000  4 Au 2.67
6 Ge 0.0000 0.5000 0.3668  3 Au 2.51-2.63, 2 Zn 2.63
7 Au 0.0000 0.5000 0.1405  5 Ge 2.51-2.67
8 Au 0.5000 0.0000 0.8595  5 Ge 2.51-2.67
9 Au 0.0000 0.0000 0.5000  4 Ge 2.63
10 Ge 0.0000 0.0000 0.0000  4 Au 2.67

---

[9]
K2AlSe: optimized geometry, PBE.

Results
Space group   Cmmm (65)
E above lowest polymorph   1.36 eV per formula unit
Spin magnetization   0.02 μB per formula unit
Uncorrected formation energy   -0.13 eV per atom
Energy   -2.48 eV per atom

Lattice parameters (Å, degrees): 6.2648 6.2648 3.2809 89.99 89.99 110.59
With the nearest neighbours (Å) after each atom.
Sites, in units of the cell vectors:
1 K 0.0000 0.0000 0.0000  4 K 3.28-3.57, 4 Se 3.54, 4 Al 3.54
2 Al 0.0000 0.5000 0.5000  2 Al 3.28, 8 K 3.54, 2 Se 3.57
3 Se 0.5000 0.0000 0.5000  2 Se 3.28, 8 K 3.54, 2 Al 3.57
4 K 0.5000 0.5000 0.0000  4 K 3.28-3.57, 4 Al 3.54, 4 Se 3.54

---

[10]
Tl3CdP: optimized geometry, PBE.

Results
Space group   Pm-3m (221)
E above lowest polymorph   0.00 eV per formula unit
Formation energy from the elements   0.36 eV/atom
Spin magnetization   0.00 μB per formula unit
Energy   -2.33 eV per atom

Lattice parameters (Å, degrees): 5.4475 5.4475 5.4475 90.00 90.00 90.00
With the nearest neighbours (Å) after each atom.
Sites, in units of the cell vectors:
1 Tl 0.0000 0.0000 0.5000  2 P 2.72
2 P 0.0000 0.0000 0.0000  6 Tl 2.72
3 Tl 0.0000 0.5000 0.0000  2 P 2.72
4 Cd 0.5000 0.5000 0.5000  12 Tl 3.85
5 Tl 0.5000 0.0000 0.0000  2 P 2.72

---

[11]
Zr2SbCl: optimized geometry, PBE.

Results
Space group   P4mm (99)
E above lowest polymorph   0.18 eV per formula unit
Spin magnetization   0.00 μB per formula unit
Uncorrected formation energy   -0.67 eV per atom
Energy   -6.43 eV per atom

Lattice parameters (Å, degrees): 3.7073 3.7124 6.4572 90.00 90.00 90.00
With the nearest neighbours (Å) after each atom.
Sites, in units of the cell vectors:
1 Zr 0.5000 0.5000 0.2916  4 Cl 2.74
2 Sb 0.5000 0.5000 0.7928  6 Zr 2.94-3.24
3 Cl 0.0000 0.0000 0.4163  5 Zr 2.69-2.74
4 Zr 0.0000 0.0000 0.9994  1 Cl 2.69, 4 Sb 2.94

---

[12]
RbTiN2F: optimized geometry, PBE.

Results
Space group   P4/mmm (123)
E above lowest polymorph   0.00 eV per formula unit
Spin magnetization   0.00 μB per formula unit
Uncorrected formation energy   -0.87 eV per atom
Energy   -6.35 eV per atom

Lattice parameters (Å, degrees): 3.9530 3.9530 4.6077 90.00 90.00 90.00
With the nearest neighbours (Å) after each atom.
Sites, in units of the cell vectors:
1 Rb 0.5000 0.5000 0.5000  4 F 2.80, 8 N 3.04
2 N 0.5000 0.0000 0.0000  2 Ti 1.98
3 N 0.0000 0.5000 0.0000  2 Ti 1.98
4 Ti 0.0000 0.0000 0.0000  4 N 1.98
5 F 0.0000 0.0000 0.5000  2 Ti 2.30

---

> Which formula does entry 10 have?

Tl3CdP